## CuAg (PBE)

Data for a geometry-optimized CuAg structure.

The structure in POSCAR format:
```
CuAg
1.0
1.4054 0.8114 21.9290
-1.4054 0.8114 21.9290
0.0000 -1.6229 21.9290
Cu Ag
5 5
Direct
0.0000 0.0000 0.0000 Cu
0.0879 0.0879 0.0879 Cu
0.3920 0.3920 0.3920 Cu
0.6958 0.6958 0.6958 Cu
0.8958 0.8958 0.8958 Cu
0.1963 0.1963 0.1963 Ag
0.2999 0.2999 0.2999 Ag
0.4922 0.4922 0.4922 Ag
0.5955 0.5955 0.5955 Ag
0.7879 0.7879 0.7879 Ag
```

Volume (Å³ per cell): 150.1
Space-group type: R3m (160)
Formation enthalpy at 0 K (eV/atom): 0.095


## CuAg (PBE)

Data for a geometry-optimized CuAg structure.

The structure in POSCAR format:
```
CuAg
1.0
2.8051 0.0000 0.0000
-1.4025 2.4293 0.0000
0.0000 0.0000 26.4633
Cu Ag
6 6
Direct
0.0000 0.0000 0.1104 Cu
0.0000 0.0000 0.8896 Cu
0.3333 0.6667 0.1835 Cu
0.3333 0.6667 0.9632 Cu
0.6667 0.3333 0.0368 Cu
0.6667 0.3333 0.8165 Cu
0.0000 0.0000 0.3606 Ag
0.0000 0.0000 0.6394 Ag
0.3333 0.6667 0.4535 Ag
0.3333 0.6667 0.7329 Ag
0.6667 0.3333 0.2671 Ag
0.6667 0.3333 0.5465 Ag
```

Volume (Å³ per cell): 180.3
Space-group type: P-3m1 (164)
Formation enthalpy at 0 K (eV/atom): 0.084


## Cu2Ag5 (PBE)

Data for a geometry-optimized Cu2Ag5 structure.

The structure in POSCAR format:
```
Cu2Ag5
1.0
2.8843 0.0000 0.0000
0.0000 2.8843 0.0000
0.0000 0.0000 27.2647
Cu Ag
4 10
Direct
0.0000 0.0000 0.1439 Cu
0.0000 0.0000 0.8561 Cu
0.5000 0.5000 0.3561 Cu
0.5000 0.5000 0.6439 Cu
0.0000 0.0000 0.0000 Ag
0.0000 0.0000 0.2894 Ag
0.0000 0.0000 0.4223 Ag
0.0000 0.0000 0.5777 Ag
0.0000 0.0000 0.7106 Ag
0.5000 0.5000 0.0777 Ag
0.5000 0.5000 0.2106 Ag
0.5000 0.5000 0.5000 Ag
0.5000 0.5000 0.7894 Ag
0.5000 0.5000 0.9223 Ag
```

Volume (Å³ per cell): 226.8
Space-group type: I4/mmm (139)
Formation enthalpy at 0 K (eV/atom): 0.058
Polymorph energy (0 for the lowest one) (meV per atom): 22


## Cu3Ag2 (PBE)

Data for a geometry-optimized Cu3Ag2 structure.

The structure in POSCAR format:
```
Cu3Ag2
1.0
5.4307 -1.4108 0.0000
5.4307 1.4108 0.0000
-1.0470 0.0000 9.3887
Cu Ag
6 4
Direct
0.0000 0.0000 0.0000 Cu
0.2133 0.2133 0.6361 Cu
0.5157 0.5157 0.5520 Cu
0.5944 0.5944 0.8143 Cu
0.8312 0.8312 0.4552 Cu
0.9083 0.9083 0.7203 Cu
0.1253 0.1253 0.3625 Ag
0.2990 0.2990 0.9130 Ag
0.4137 0.4137 0.2277 Ag
0.6892 0.6892 0.1246 Ag
```

Volume (Å³ per cell): 143.9
Space-group type: Cm (8)
Formation enthalpy at 0 K (eV/atom): 0.084
Polymorph energy (0 for the lowest one) (meV per atom): 42


Question: volume of number 3 (Cu2Ag5)?
Answer: 226.8 Å³ per cell


Question: Which of these has the lowest formation enthalpy at 0 K?
Answer: Cu2Ag5


Question: Among the records above, which one has the highest volume?
Answer: Cu2Ag5


Question: What is the formula in the second record?
Answer: CuAg